Entry 1
Material: TiTcPb2
Method: DFT, PBE
State: relaxed

Cell lengths 4.8244, 4.8244, 4.8244 Å; angles 60.00, 60.00, 60.00 degrees
Closest atoms and distances in Å follow each position.
Positions (direct):
Ti: 0.0000 0.0000 0.0000  8 Pb 2.95
Tc: 0.5000 0.5000 0.5000  8 Pb 2.95
Pb: 0.2500 0.2500 0.2500  4 Tc 2.95, 4 Ti 2.95
Pb: 0.7500 0.7500 0.7500  4 Tc 2.95, 4 Ti 2.95

Summary:
- magnetization (μB/f.u.) = 0.0
- Fermi-level density of states (states/eV per cell) = 4.75
- space group = Fm-3m (225)

Entry 2
Material: TiTcPb2
Method: DFT, PBE
State: relaxed

Cell lengths 6.2374, 6.2374, 6.2374 Å; angles 103.73, 103.73, 121.69 degrees
Closest atoms and distances in Å follow each position.
Positions (direct):
Ti: 0.0000 0.0000 0.0000  4 Pb 2.88, 2 Tc 3.04
Ti: 0.7500 0.2500 0.5000  4 Pb 2.88, 2 Tc 3.04
Tc: 0.2500 0.7500 0.5000  4 Pb 2.78, 2 Ti 3.04
Tc: 0.5000 0.5000 0.0000  4 Pb 2.78, 2 Ti 3.04
Pb: 0.1349 0.6250 0.0099  2 Tc 2.78, 2 Ti 2.88, 2 Pb 3.04
Pb: 0.3750 0.3849 0.5099  2 Tc 2.78, 2 Ti 2.88, 2 Pb 3.04
Pb: 0.6151 0.1250 0.9901  2 Tc 2.78, 2 Ti 2.88, 2 Pb 3.04
Pb: 0.8750 0.8651 0.4901  2 Tc 2.78, 2 Ti 2.88, 2 Pb 3.04

Summary:
- magnetization (μB/f.u.) = 1.2
- Fermi-level density of states (states/eV per cell) = 10.79
- space group = I-42d (122)

The structure with the greatest stability is entry 1.